No. 1
# RbHf2Re PBE optimized geometry
data_RbHf2Re
_chemical_formula_sum 'Rb4 Hf8 Re4'
_space_group_name_H-M_alt 'I 41/a m d'
_space_group_IT_number 141
_cell_length_a 6.791
_cell_length_b 6.791
_cell_length_c 14.472
_cell_angle_alpha 90.00
_cell_angle_beta 90.00
_cell_angle_gamma 90.00
loop_
_space_group_symop_operation_xyz
'x,y,z'
'-x,-y,-z'
'-y+1/4,x+3/4,z+1/4'
'y+1/4,-x+3/4,-z+1/4'
'-x+1/2,-y,z+1/2'
'x+1/2,y,-z+1/2'
'y+1/4,-x+1/4,z+3/4'
'-y+1/4,x+1/4,-z+3/4'
'x,-y,-z'
'-x,y,z'
'-y+1/4,-x+1/4,-z+3/4'
'y+1/4,x+1/4,z+3/4'
'-x+1/2,y,-z+1/2'
'x+1/2,-y,z+1/2'
'y+1/4,x+3/4,-z+1/4'
'-y+1/4,-x+3/4,z+1/4'
'x+1/2,y+1/2,z+1/2'
'-x+1/2,-y+1/2,-z+1/2'
'-y+3/4,x+1/4,z+3/4'
'y+3/4,-x+1/4,-z+3/4'
'-x,-y+1/2,z'
'x,y+1/2,-z'
'y+3/4,-x+3/4,z+1/4'
'-y+3/4,x+3/4,-z+1/4'
'x+1/2,-y+1/2,-z+1/2'
'-x+1/2,y+1/2,z+1/2'
'-y+3/4,-x+3/4,-z+1/4'
'y+3/4,x+3/4,z+1/4'
'-x,y+1/2,-z'
'x,-y+1/2,z'
'y+3/4,x+1/4,-z+3/4'
'-y+3/4,-x+1/4,z+3/4'
loop_
_atom_site_label
_atom_site_type_symbol
_atom_site_fract_x
_atom_site_fract_y
_atom_site_fract_z
_atom_site_occupancy
Rb1 Rb 0.000 0.250 0.375 1
Hf1 Hf 0.000 0.000 0.000 1
Re1 Re 0.000 0.250 0.875 1
# Magnetic moment, Bohr magnetons per cell: 0.00
# Electronic total energy, eV/atom: -6.98
# N(E_F), states/eV/f.u.: 2.26
# Calculated density, g/cm³: 6.26
# V, Å³/cell: 667
# ΔE_f, eV/atom: 1.350
# Energy above the most stable polymorph in this dataset, meV/atom: 267



No. 2
# Rb3HfRe PBE optimized geometry
data_Rb3HfRe
_chemical_formula_sum 'Rb3 Hf1 Re1'
_space_group_name_H-M_alt 'P m -3 m'
_space_group_IT_number 221
_space_group_name_Hall '-P 4 2 3'
_cell_length_a 6.163
_cell_length_b 6.163
_cell_length_c 6.163
_cell_angle_alpha 90.00
_cell_angle_beta 90.00
_cell_angle_gamma 90.00
loop_
_atom_site_label
_atom_site_type_symbol
_atom_site_fract_x
_atom_site_fract_y
_atom_site_fract_z
_atom_site_occupancy
Rb1 Rb 0.000 0.000 0.500 1
Hf1 Hf 0.500 0.500 0.500 1
Re1 Re 0.000 0.000 0.000 1
# Magnetic moment, Bohr magnetons per cell: 0.00
# Electronic total energy, eV/atom: -2.52
# N(E_F), states/eV/f.u.: 17.22
# Calculated density, g/cm³: 4.41
# V, Å³/cell: 234
# ΔE_f, eV/atom: 2.543
# Energy above the most stable polymorph in this dataset, meV/atom: 0



No. 3
# RbHf2Re PBE optimized geometry
data_RbHf2Re
_chemical_formula_sum 'Rb4 Hf8 Re4'
_space_group_name_H-M_alt 'F m -3 m'
_space_group_IT_number 225
_space_group_name_Hall '-F 4 2 3'
_cell_length_a 6.995
_cell_length_b 6.995
_cell_length_c 6.995
_cell_angle_alpha 90.00
_cell_angle_beta 90.00
_cell_angle_gamma 90.00
loop_
_atom_site_label
_atom_site_type_symbol
_atom_site_fract_x
_atom_site_fract_y
_atom_site_fract_z
_atom_site_occupancy
Rb1 Rb 0.000 0.000 0.000 1
Hf1 Hf 0.250 0.250 0.250 1
Re1 Re 0.000 0.000 0.500 1
# Magnetic moment, Bohr magnetons per cell: 0.00
# Electronic total energy, eV/atom: -7.25
# N(E_F), states/eV/f.u.: 3.96
# Calculated density, g/cm³: 12.20
# V, Å³/cell: 342
# ΔE_f, eV/atom: 1.083
# Energy above the most stable polymorph in this dataset, meV/atom: 0